Tm8Cu2Au | GGA-PBE | relaxed

Summary:
- E: -4.540 eV/atom
- Magnetic moment: 0.0 μB per cell
- Formation energy from the elements: -0.245 eV/atom
- Symmetry: C2/m (12)
- Offset from the most stable computed form: 0.000 eV per atom

```
data_Tm8Cu2Au
_chemical_formula_sum 'Tm8 Cu2 Au1'
_symmetry_space_group_name_H-M 'P 1'
_symmetry_Int_Tables_number 1
_symmetry_space_group_name_Hall 'P 1'
_cell_length_a 9.006
_cell_length_b 9.006
_cell_length_c 6.702
_cell_angle_alpha 106.05
_cell_angle_beta 106.05
_cell_angle_gamma 32.24
loop_
_atom_site_label
_atom_site_fract_x
_atom_site_fract_y
_atom_site_fract_z
Tm1 0.033 0.033 0.279
Tm2 0.201 0.201 0.832
Tm3 0.328 0.328 0.518
Tm4 0.407 0.407 0.041
Tm5 0.593 0.593 0.959
Tm6 0.672 0.672 0.482
Tm7 0.799 0.799 0.168
Tm8 0.967 0.967 0.721
Cu1 0.183 0.183 0.223
Cu2 0.817 0.817 0.777
Au1 0.500 0.500 0.500
```

NdDy3Th | GGA-PBE | relaxed

Summary:
- E: -5.175 eV/atom
- Magnetic moment: 0.0 μB per cell
- Formation energy from the elements: 0.024 eV/atom
- Symmetry: Pnma (62)
- Offset from the most stable computed form: 0.000 eV per atom

```
data_NdDy3Th
_chemical_formula_sum 'Nd4 Dy12 Th4'
_symmetry_space_group_name_H-M 'P 1'
_symmetry_Int_Tables_number 1
_symmetry_space_group_name_Hall 'P 1'
_cell_length_a 10.115
_cell_length_b 3.590
_cell_length_c 17.825
_cell_angle_alpha 90.00
_cell_angle_beta 90.00
_cell_angle_gamma 90.00
loop_
_atom_site_label
_atom_site_fract_x
_atom_site_fract_y
_atom_site_fract_z
Nd1 0.125 0.250 0.149
Nd2 0.375 0.750 0.649
Nd3 0.625 0.250 0.351
Nd4 0.875 0.750 0.851
Dy1 0.119 0.250 0.353
Dy2 0.129 0.250 0.749
Dy3 0.132 0.250 0.951
Dy4 0.368 0.750 0.451
Dy5 0.371 0.750 0.249
Dy6 0.381 0.750 0.853
Dy7 0.619 0.250 0.147
Dy8 0.629 0.250 0.751
Dy9 0.632 0.250 0.549
Dy10 0.868 0.750 0.049
Dy11 0.871 0.750 0.251
Dy12 0.881 0.750 0.647
Th1 0.123 0.250 0.549
Th2 0.377 0.750 0.049
Th3 0.623 0.250 0.951
Th4 0.877 0.750 0.451
```

AlMoIr2 | GGA-PBE | relaxed

Summary:
- E: -8.528 eV/atom
- Magnetic moment: 0.0 μB per cell
- Formation energy from the elements: -0.454 eV/atom
- Symmetry: Pmmm (47)
- Offset from the most stable computed form: 0.158 eV per atom

```
data_AlMoIr2
_chemical_formula_sum 'Al1 Mo1 Ir2'
_symmetry_space_group_name_H-M 'P 1'
_symmetry_Int_Tables_number 1
_symmetry_space_group_name_Hall 'P 1'
_cell_length_a 2.814
_cell_length_b 3.763
_cell_length_c 5.557
_cell_angle_alpha 90.00
_cell_angle_beta 90.00
_cell_angle_gamma 90.00
loop_
_atom_site_label
_atom_site_fract_x
_atom_site_fract_y
_atom_site_fract_z
Al1 0.000 0.000 0.000
Mo1 0.000 0.000 0.500
Ir1 0.500 0.500 0.248
Ir2 0.500 0.500 0.752
```

SrZn2Ni | GGA-PBE | relaxed

Summary:
- E: -2.521 eV/atom
- Magnetic moment: 0.0 μB per cell
- Formation energy from the elements: -0.019 eV/atom
- Symmetry: P2/m (10)

```
data_SrZn2Ni
_chemical_formula_sum 'Sr1 Zn2 Ni1'
_symmetry_space_group_name_H-M 'P 1'
_symmetry_Int_Tables_number 1
_symmetry_space_group_name_Hall 'P 1'
_cell_length_a 4.107
_cell_length_b 4.222
_cell_length_c 5.304
_cell_angle_alpha 90.00
_cell_angle_beta 107.22
_cell_angle_gamma 90.00
loop_
_atom_site_label
_atom_site_fract_x
_atom_site_fract_y
_atom_site_fract_z
Sr1 0.000 0.000 0.000
Zn1 0.328 0.500 0.662
Zn2 0.672 0.500 0.338
Ni1 0.500 0.000 0.500
```

> Which value of magnetic moment does entry 4 give?

0.0 μB per cell

> The highest formation energy from the elements belongs to which entry?

NdDy3Th